## P
Entry from Alexandria: a relaxed PrMgTlSn crystal (PBE-GGA).

a = 5.3790 Å, b = 5.3790 Å, c = 5.3790 Å
α = 60.00°, β = 60.00°, γ = 60.00°
Closest atoms and distances in Å follow each position.
Fractional positions:
Sn1 0.0000 0.0000 0.0000  4 Pr 3.29, 4 Mg 3.29
Mg1 0.2500 0.2500 0.2500  4 Tl 3.29, 4 Sn 3.29
Tl1 0.5000 0.5000 0.5000  4 Mg 3.29, 4 Pr 3.29
Pr1 0.7500 0.7500 0.7500  4 Tl 3.29, 4 Sn 3.29

symmetry: F-43m
total magnetic moment: 0.000 μB per formula unit
volume: 110.0 Å³ per cell
mass density: 7.4 g/cm3

---

## Q
Entry from Alexandria: a relaxed PrMgTlSn crystal (PBE-GGA).

a = 4.5318 Å, b = 4.7735 Å, c = 4.9611 Å
α = 90.00°, β = 90.00°, γ = 90.00°
Closest atoms and distances in Å follow each position.
Fractional positions:
Pr1 0.5000 0.5000 0.0000  4 Sn 3.29, 4 Tl 3.36, 4 Mg 3.44
Mg1 0.5000 0.0000 0.5000  4 Tl 3.29, 4 Sn 3.36, 4 Pr 3.44
Sn1 0.0000 0.0000 0.0000  4 Pr 3.29, 4 Mg 3.36, 4 Tl 3.44
Tl1 0.0000 0.5000 0.5000  4 Mg 3.29, 4 Pr 3.36, 4 Sn 3.44

symmetry: Pmmm
total magnetic moment: 0.000 μB per formula unit
volume: 107.3 Å³ per cell
mass density: 7.6 g/cm3

---

Which one is most stable, and which one is least stable? Q is the most stable of them, while P is the least stable.

---

## P
Entry from Alexandria: a relaxed SrPr2Mg crystal (PBE-GGA).

a = 5.8588 Å, b = 5.8588 Å, c = 5.8588 Å
α = 60.00°, β = 60.00°, γ = 60.00°
Closest atoms and distances in Å follow each position.
Fractional positions:
Mg1 0.5000 0.5000 0.5000  8 Pr 3.59
Pr1 0.2500 0.2500 0.2500  4 Sr 3.59, 4 Mg 3.59
Sr1 0.0000 0.0000 0.0000  8 Pr 3.59
Pr2 0.7500 0.7500 0.7500  4 Mg 3.59, 4 Sr 3.59

symmetry: Fm-3m
total magnetic moment: 0.000 μB per formula unit
volume: 142.2 Å³ per cell
mass density: 4.6 g/cm3

---

## Q
Entry from Alexandria: a relaxed SrPr2Mg crystal (PBE-GGA).

a = 3.9778 Å, b = 3.9778 Å, c = 9.3781 Å
α = 90.00°, β = 90.00°, γ = 90.00°
Closest atoms and distances in Å follow each position.
Fractional positions:
Pr1 0.0000 0.0000 0.1945  4 Mg 3.35, 1 Pr 3.65
Sr1 0.5000 0.5000 0.5000  4 Sr 3.98, 8 Pr 4.01
Mg1 0.5000 0.5000 0.0000  8 Pr 3.35
Pr2 0.0000 0.0000 0.8055  4 Mg 3.35, 1 Pr 3.65

symmetry: P4/mmm
total magnetic moment: 0.000 μB per formula unit
volume: 148.4 Å³ per cell
mass density: 4.4 g/cm3

---

## R
Entry from Alexandria: a relaxed SrPr2Mg crystal (PBE-GGA).

a = 3.6731 Å, b = 3.6731 Å, c = 13.0118 Å
α = 81.89°, β = 81.89°, γ = 60.00°
Closest atoms and distances in Å follow each position.
Fractional positions:
Pr1 0.0971 0.0971 0.7087  3 Mg 3.42, 6 Pr 3.67, 1 Sr 3.74
Pr2 0.9029 0.9029 0.2913  3 Mg 3.42, 6 Pr 3.67, 1 Sr 3.74
Mg1 0.5000 0.5000 0.5000  6 Pr 3.42, 6 Mg 3.67
Sr1 0.0000 0.0000 0.0000  6 Sr 3.67, 2 Pr 3.74

symmetry: R-3m
total magnetic moment: 0.001 μB per formula unit
volume: 150.0 Å³ per cell
mass density: 4.4 g/cm3

---

Which one is most stable, and which one is least stable? Q is the most stable of them, while R is the least stable.

---

## P
Entry from Alexandria: a relaxed Sr2PrMg crystal (PBE-GGA).

a = 3.7983 Å, b = 3.7983 Å, c = 13.3651 Å
α = 81.83°, β = 81.83°, γ = 60.00°
Closest atoms and distances in Å follow each position.
Fractional positions:
Mg1 0.5000 0.5000 0.5000  6 Sr 3.64, 6 Mg 3.80
Pr1 0.0000 0.0000 0.0000  2 Sr 3.69, 6 Pr 3.80
Sr1 0.0934 0.0934 0.7199  3 Mg 3.64, 1 Pr 3.69, 6 Sr 3.80
Sr2 0.9066 0.9066 0.2801  3 Mg 3.64, 1 Pr 3.69, 6 Sr 3.80

symmetry: R-3m
total magnetic moment: 0.614 μB per formula unit
volume: 164.7 Å³ per cell
mass density: 3.4 g/cm3

---

## Q
Entry from Alexandria: a relaxed Sr2PrMg crystal (PBE-GGA).

a = 4.4573 Å, b = 4.4573 Å, c = 8.1081 Å
α = 90.00°, β = 90.00°, γ = 90.00°
Closest atoms and distances in Å follow each position.
Fractional positions:
Sr1 0.0000 0.0000 0.2350  4 Mg 3.68, 1 Sr 3.81, 4 Pr 3.81
Sr2 0.0000 0.0000 0.7650  4 Mg 3.68, 1 Sr 3.81, 4 Pr 3.81
Mg1 0.5000 0.5000 0.0000  8 Sr 3.68, 2 Pr 4.05
Pr1 0.5000 0.5000 0.5000  8 Sr 3.81, 2 Mg 4.05

symmetry: P4/mmm
total magnetic moment: 0.000 μB per formula unit
volume: 161.1 Å³ per cell
mass density: 3.5 g/cm3

---

Which one is most stable, and which one is least stable? Q is the most stable of them, while P is the least stable.

---

## P
Entry from Alexandria: a relaxed SrPrMgZn crystal (PBE-GGA).

a = 5.5346 Å, b = 5.5346 Å, c = 5.5346 Å
α = 60.00°, β = 60.00°, γ = 60.00°
Closest atoms and distances in Å follow each position.
Fractional positions:
Mg1 0.7500 0.7500 0.7500  4 Sr 3.39, 4 Pr 3.39
Zn1 0.2500 0.2500 0.2500  4 Pr 3.39, 4 Sr 3.39
Sr1 0.5000 0.5000 0.5000  4 Mg 3.39, 4 Zn 3.39
Pr1 0.0000 0.0000 0.0000  4 Mg 3.39, 4 Zn 3.39

symmetry: F-43m
total magnetic moment: 0.000 μB per formula unit
volume: 119.9 Å³ per cell
mass density: 4.4 g/cm3

---

## Q
Entry from Alexandria: a relaxed SrPrMgZn crystal (PBE-GGA).

a = 3.8958 Å, b = 3.8958 Å, c = 7.9661 Å
α = 90.00°, β = 90.00°, γ = 90.00°
Closest atoms and distances in Å follow each position.
Fractional positions:
Mg1 0.5000 0.5000 0.5827  4 Pr 3.39, 1 Zn 3.56, 4 Sr 3.61
Pr1 0.0000 0.0000 0.3339  4 Zn 3.17, 4 Mg 3.39
Zn1 0.5000 0.5000 0.1360  4 Pr 3.17, 4 Sr 3.45
Sr1 0.0000 0.0000 0.8753  4 Zn 3.45, 4 Mg 3.61, 1 Pr 3.65

symmetry: P4mm
total magnetic moment: 0.004 μB per formula unit
volume: 120.9 Å³ per cell
mass density: 4.4 g/cm3

---

Which one is most stable, and which one is least stable? Q is the most stable of them, while P is the least stable.

---

## P
Entry from Alexandria: a relaxed Tb12Pr6Mg crystal (PBE-GGA).

a = 8.7510 Å, b = 8.7510 Å, c = 8.7510 Å
α = 97.45°, β = 97.45°, γ = 97.45°
Closest atoms and distances in Å follow each position.
Fractional positions:
Tb1 0.7381 0.9997 0.2619  4 Pr 3.37-3.53, 1 Mg 3.44, 6 Tb 3.44-3.61
Pr1 0.8655 0.8650 0.5918  4 Tb 3.37-3.53, 3 Pr 3.60-3.77, 1 Mg 3.61
Tb2 0.5897 0.5896 0.1670  7 Tb 3.23-3.61
Pr2 0.8650 0.5918 0.8655  4 Tb 3.37-3.53, 3 Pr 3.60-3.77, 1 Mg 3.61
Pr3 0.1350 0.4082 0.1345  4 Tb 3.37-3.53, 3 Pr 3.60-3.77, 1 Mg 3.61
Tb3 0.8330 0.4103 0.4104  7 Tb 3.23-3.61
Pr4 0.1345 0.1350 0.4082  4 Tb 3.37-3.53, 3 Pr 3.60-3.77, 1 Mg 3.61
Tb4 0.1670 0.5897 0.5896  7 Tb 3.23-3.61
Mg1 0.0000 0.0000 0.0000  6 Tb 3.44, 6 Pr 3.61
Tb5 0.4104 0.8330 0.4103  7 Tb 3.23-3.61
Tb6 0.9997 0.2619 0.7381  4 Pr 3.37-3.53, 1 Mg 3.44, 6 Tb 3.44-3.61
Pr5 0.4082 0.1345 0.1350  4 Tb 3.37-3.53, 3 Pr 3.60-3.77, 1 Mg 3.61
Tb7 0.7381 0.2619 0.0003  4 Pr 3.37-3.53, 1 Mg 3.44, 6 Tb 3.44-3.61
Tb8 0.0003 0.7381 0.2619  4 Pr 3.37-3.53, 1 Mg 3.44, 6 Tb 3.44-3.61
Tb9 0.2619 0.7381 0.9997  4 Pr 3.37-3.53, 1 Mg 3.44, 6 Tb 3.44-3.61
Tb10 0.5896 0.1670 0.5897  7 Tb 3.23-3.61
Pr6 0.5918 0.8655 0.8650  4 Tb 3.37-3.53, 3 Pr 3.60-3.77, 1 Mg 3.61
Tb11 0.4103 0.4104 0.8330  7 Tb 3.23-3.61
Tb12 0.2619 0.0003 0.7381  4 Pr 3.37-3.53, 1 Mg 3.44, 6 Tb 3.44-3.61

symmetry: R-3m
total magnetic moment: 0.000 μB per formula unit
volume: 651.5 Å³ per cell
mass density: 7.1 g/cm3

---

## Q
Entry from Alexandria: a relaxed Tb12Pr6Mg crystal (PBE-GGA).

a = 8.5945 Å, b = 8.5945 Å, c = 8.5945 Å
α = 89.07°, β = 89.07°, γ = 89.07°
Closest atoms and distances in Å follow each position.
Fractional positions:
Pr1 0.3013 0.7367 0.9066  7 Tb 3.38-3.69, 1 Mg 3.50, 2 Pr 3.54
Pr2 0.2633 0.0934 0.6987  7 Tb 3.38-3.69, 1 Mg 3.50, 2 Pr 3.54
Pr3 0.7367 0.9066 0.3013  7 Tb 3.38-3.69, 1 Mg 3.50, 2 Pr 3.54
Pr4 0.9066 0.3013 0.7367  7 Tb 3.38-3.69, 1 Mg 3.50, 2 Pr 3.54
Mg1 0.0000 0.0000 0.0000  6 Pr 3.50, 6 Tb 3.52
Pr5 0.6987 0.2633 0.0934  7 Tb 3.38-3.69, 1 Mg 3.50, 2 Pr 3.54
Tb1 0.2214 0.4634 0.5634  6 Tb 3.31-3.67, 3 Pr 3.38-3.44
Tb2 0.9836 0.8137 0.6392  4 Pr 3.48-3.69, 4 Tb 3.49-3.67, 1 Mg 3.52
Tb3 0.0164 0.1863 0.3608  4 Pr 3.48-3.69, 4 Tb 3.49-3.67, 1 Mg 3.52
Tb4 0.3608 0.0164 0.1863  4 Pr 3.48-3.69, 4 Tb 3.49-3.67, 1 Mg 3.52
Tb5 0.1863 0.3608 0.0164  4 Pr 3.48-3.69, 4 Tb 3.49-3.67, 1 Mg 3.52
Tb6 0.5634 0.2214 0.4634  6 Tb 3.31-3.67, 3 Pr 3.38-3.44
Tb7 0.4366 0.7786 0.5366  6 Tb 3.31-3.67, 3 Pr 3.38-3.44
Tb8 0.8137 0.6392 0.9836  4 Pr 3.48-3.69, 4 Tb 3.49-3.67, 1 Mg 3.52
Tb9 0.7786 0.5366 0.4366  6 Tb 3.31-3.67, 3 Pr 3.38-3.44
Tb10 0.4634 0.5634 0.2214  6 Tb 3.31-3.67, 3 Pr 3.38-3.44
Tb11 0.5366 0.4366 0.7786  6 Tb 3.31-3.67, 3 Pr 3.38-3.44
Pr6 0.0934 0.6987 0.2633  7 Tb 3.38-3.69, 1 Mg 3.50, 2 Pr 3.54
Tb12 0.6392 0.9836 0.8137  4 Pr 3.48-3.69, 4 Tb 3.49-3.67, 1 Mg 3.52

symmetry: R-3
total magnetic moment: 0.000 μB per formula unit
volume: 634.6 Å³ per cell
mass density: 7.3 g/cm3

---

Which one is most stable, and which one is least stable? Q is the most stable of them, while P is the least stable.

---

## P
Entry from Alexandria: a relaxed Tb2PrMg crystal (PBE-GGA).

a = 3.4889 Å, b = 3.4889 Å, c = 12.6118 Å
α = 82.05°, β = 82.05°, γ = 60.00°
Closest atoms and distances in Å follow each position.
Fractional positions:
Tb1 0.0881 0.0881 0.7356  1 Mg 3.29, 6 Tb 3.49, 3 Pr 3.56
Pr1 0.5000 0.5000 0.5000  6 Pr 3.49, 6 Tb 3.56
Tb2 0.9119 0.9119 0.2644  1 Mg 3.29, 6 Tb 3.49, 3 Pr 3.56
Mg1 0.0000 0.0000 0.0000  2 Tb 3.29, 6 Mg 3.49

symmetry: R-3m
total magnetic moment: 0.000 μB per formula unit
volume: 131.2 Å³ per cell
mass density: 6.1 g/cm3

---

## Q
Entry from Alexandria: a relaxed Tb2PrMg crystal (PBE-GGA).

a = 3.6961 Å, b = 3.6961 Å, c = 9.0380 Å
α = 90.00°, β = 90.00°, γ = 90.00°
Closest atoms and distances in Å follow each position.
Fractional positions:
Pr1 0.5000 0.5000 0.5000  8 Tb 3.62, 4 Pr 3.70
Mg1 0.5000 0.5000 0.0000  8 Tb 3.30
Tb1 0.0000 0.0000 0.7779  4 Mg 3.30, 4 Pr 3.62
Tb2 0.0000 0.0000 0.2221  4 Mg 3.30, 4 Pr 3.62

symmetry: P4/mmm
total magnetic moment: 0.000 μB per formula unit
volume: 123.5 Å³ per cell
mass density: 6.5 g/cm3

---

## R
Entry from Alexandria: a relaxed Tb2PrMg crystal (PBE-GGA).

a = 5.0257 Å, b = 4.9492 Å, c = 4.9492 Å
α = 90.00°, β = 90.00°, γ = 90.00°
Closest atoms and distances in Å follow each position.
Fractional positions:
Tb1 0.0000 0.5000 0.0000  4 Tb 3.50, 4 Pr 3.53, 4 Mg 3.53
Pr1 0.5000 0.5000 0.5000  4 Mg 3.50, 8 Tb 3.53
Tb2 0.0000 0.0000 0.5000  4 Tb 3.50, 4 Pr 3.53, 4 Mg 3.53
Mg1 0.5000 0.0000 0.0000  4 Pr 3.50, 8 Tb 3.53

symmetry: P4/mmm
total magnetic moment: 0.000 μB per formula unit
volume: 123.1 Å³ per cell
mass density: 6.5 g/cm3

---

Which one is most stable, and which one is least stable? Q is the most stable of them, while P is the least stable.